Re2Tc7B2 | GGA-PBE | optimized geometry

a = 7.888 Å, b = 7.888 Å, c = 7.888 Å
α = 159.15°, β = 61.56°, γ = 122.80°
Positions (direct):
Re 0.000 0.000 0.000
Re 0.678 0.178 0.500
Tc 0.283 0.630 0.653
Tc 0.334 0.002 0.332
Tc 0.356 0.356 0.000
Tc 0.652 0.807 0.845
Tc 0.670 0.002 0.668
Tc 0.962 0.807 0.155
Tc 0.976 0.630 0.347
B 0.083 0.307 0.777
B 0.530 0.307 0.223

Calculated values
**Symmetry**: Imm2
**E_form**: -82.3 meV per atom

***

Na3Sc3SbTe8 | GGA-PBE | optimized geometry

a = 8.451 Å, b = 8.451 Å, c = 9.044 Å
α = 117.95°, β = 117.95°, γ = 59.90°
Positions (direct):
Na 0.000 0.000 0.000
Na 0.000 0.500 0.000
Na 0.500 0.000 0.000
Sc 0.000 0.500 0.500
Sc 0.500 0.000 0.500
Sc 0.500 0.500 0.500
Sb 0.000 0.000 0.500
Te 0.246 0.246 0.723
Te 0.246 0.730 0.723
Te 0.260 0.260 0.279
Te 0.270 0.754 0.277
Te 0.730 0.246 0.723
Te 0.740 0.740 0.721
Te 0.754 0.270 0.277
Te 0.754 0.754 0.277

Calculated values
**Symmetry**: C2/m
**ΔE_f (raw)**: -0.948 eV/atom

***

Ac4Ir2PdCl | GGA-PBE | optimized geometry

a = 7.542 Å, b = 7.542 Å, c = 7.542 Å
α = 131.29°, β = 131.29°, γ = 71.36°
Positions (direct):
Ac 0.000 0.500 0.500
Ac 0.241 0.241 0.000
Ac 0.500 0.000 0.500
Ac 0.759 0.759 0.000
Ir 0.250 0.750 0.500
Ir 0.750 0.250 0.500
Pd 0.000 0.000 0.000
Cl 0.500 0.500 0.000

Calculated values
**Symmetry**: I4/mmm
**ΔE_f (raw)**: -0.917 eV/atom

***

ErCoCu | GGA-PBE | optimized geometry

a = 4.079 Å, b = 4.079 Å, c = 3.595 Å
α = 90.00°, β = 90.00°, γ = 120.00°
Positions (direct):
Er 0.000 0.000 0.000
Co 0.667 0.333 0.500
Cu 0.333 0.667 0.500

Calculated values
**Symmetry**: P-6m2
**E_form**: -133.8 meV per atom

***

Ba4RhAu2I | GGA-PBE | optimized geometry

a = 9.607 Å, b = 9.607 Å, c = 9.607 Å
α = 120.89°, β = 119.01°, γ = 90.10°
Positions (direct):
Ba 0.246 0.229 0.017
Ba 0.257 0.239 0.482
Ba 0.257 0.775 0.018
Ba 0.287 0.771 0.517
Ba 0.713 0.229 0.483
Ba 0.743 0.225 0.982
Ba 0.743 0.761 0.518
Ba 0.754 0.771 0.983
Rh 0.000 0.000 0.000
Rh 0.500 0.000 0.500
Au 0.000 0.500 0.500
Au 0.500 0.000 0.000
Au 0.500 0.500 0.000
Au 0.500 0.500 0.500
I 0.000 0.000 0.500
I 0.000 0.500 0.000

Calculated values
**Symmetry**: Imma
**ΔE_f (raw)**: -0.670 eV/atom

***

RbTl4Hg | GGA-PBE | optimized geometry

a = 6.648 Å, b = 6.648 Å, c = 6.648 Å
α = 60.00°, β = 60.00°, γ = 60.00°
Positions (direct):
Rb 0.000 0.000 0.000
Tl 0.128 0.624 0.624
Tl 0.624 0.128 0.624
Tl 0.624 0.624 0.128
Tl 0.624 0.624 0.624
Hg 0.250 0.250 0.250

Calculated values
**Symmetry**: F-43m
**Offset from the most stable computed form**: 58 meV/atom
**E_form**: -11.4 meV per atom